(1)
Material: ErCoPdPb
Method: DFT, PBE
State: optimized geometry

Lattice parameters (Å, degrees): 6.7118 6.7118 6.7118 90.00 90.00 90.00
Last column: nearest neighbours and their distance in Å.
Space group F-43m (No. 216)
One atom of each set of equivalent atoms:
Er 0.0000 0.0000 0.0000 x4  4 Co 2.91, 4 Pd 2.91
Co 0.2500 0.2500 0.7500 x4  4 Er 2.91, 4 Pb 2.91
Pd 0.2500 0.2500 0.2500 x4  4 Pb 2.91, 4 Er 2.91
Pb 0.0000 0.0000 0.5000 x4  4 Co 2.91, 4 Pd 2.91

V = 18.90 Å³/atom
total magnetization = 1.3 μB per formula unit
DFT formation energy = -7.1 kcal/mol of atoms
theoretical density = 11859 kg/m3
calculated total energy = -5.4503 eV/atom

---

(2)
Material: ErCoRuPb
Method: DFT, PBE
State: optimized geometry

Lattice parameters (Å, degrees): 6.5747 6.5747 6.5747 90.00 90.00 90.00
Last column: nearest neighbours and their distance in Å.
Space group F-43m (No. 216)
One atom of each set of equivalent atoms:
Er 0.0000 0.0000 0.0000 x4  4 Co 2.85, 4 Ru 2.85
Co 0.2500 0.2500 0.2500 x4  4 Pb 2.85, 4 Er 2.85
Ru 0.2500 0.2500 0.7500 x4  4 Pb 2.85, 4 Er 2.85
Pb 0.0000 0.0000 0.5000 x4  4 Co 2.85, 4 Ru 2.85

V = 17.76 Å³/atom
total magnetization = 0.0 μB per formula unit
DFT formation energy = -1.6 kcal/mol of atoms
theoretical density = 12491 kg/m3
calculated total energy = -6.2306 eV/atom

---

(3)
Material: Er4CoPd3
Method: DFT, PBE
State: optimized geometry

Lattice parameters (Å, degrees): 3.4056 3.4056 13.9351 90.00 90.00 90.00
Last column: nearest neighbours and their distance in Å.
Space group P4/mmm (No. 123)
One atom of each set of equivalent atoms:
Er 0.0000 0.0000 0.1147 x2  4 Co 2.89, 4 Pd 3.02, 1 Er 3.20
Er 0.0000 0.0000 0.3714 x2  8 Pd 2.98-3.00
Co 0.5000 0.5000 0.0000 x1  8 Er 2.89
Pd 0.5000 0.5000 0.2452 x2  8 Er 2.98-3.02
Pd 0.5000 0.5000 0.5000 x1  8 Er 3.00

V = 20.20 Å³/atom
total magnetization = 0.0 μB per formula unit
DFT formation energy = -17.0 kcal/mol of atoms
theoretical density = 10759 kg/m3
calculated total energy = -5.8557 eV/atom

---

(4)
Material: Er12Co6Pd
Method: DFT, PBE
State: optimized geometry

Lattice parameters (Å, degrees): 9.4719 9.4719 9.4719 90.00 90.00 90.00
Last column: nearest neighbours and their distance in Å.
Space group Im-3 (No. 204)
One atom of each set of equivalent atoms:
Er 0.0000 0.2995 0.1940 x24  3 Co 2.62-2.86
Co 0.0000 0.1149 0.5000 x12  1 Co 2.18
Pd 0.0000 0.0000 0.0000 x2  12 Er 3.38

V = 22.36 Å³/atom
total magnetization = 0.0 μB per formula unit
DFT formation energy = -6.5 kcal/mol of atoms
theoretical density = 9642 kg/m3
calculated total energy = -5.6797 eV/atom